--- P ---
The following is a DFT calculation (PBE) of a relaxed SrZnI2O crystal.

Cell: 6.4980 6.4980 4.5193 Å, 90.00 90.00 90.00°
Space group P4/mmm (No. 123)
Inequivalent atoms, fractional coordinates:
Sr 0.0000 0.0000 0.0000
Zn 0.5000 0.5000 0.5000
I 0.0000 0.5000 0.0000
O 0.0000 0.0000 0.5000

--- Q ---
The following is a DFT calculation (PBE) of a relaxed SrZnI2O crystal.

Cell: 5.8911 5.8911 3.8495 Å, 90.00 90.00 90.00°
Space group P4/mmm (No. 123)
Inequivalent atoms, fractional coordinates:
Sr 0.0000 0.0000 0.0000
Zn 0.5000 0.5000 0.5000
I 0.0000 0.5000 0.5000
O 0.5000 0.5000 0.0000

Pick Q: it beats the second-best structure by 501 meV per atom.